No. 1
Compound: Al2CdRe
Source: the Alexandria database
Functional: GGA-PBEsol
Structure: optimized geometry

a b c (Å): 4.3034 4.3034 3.3090
angles (deg): 90.00 90.00 90.00
With the nearest neighbours (Å) after each atom.
Fractional positions:
Al (0.0000, 0.5000, 0.0000)  4 Re 2.71, 4 Cd 2.71
Al (0.5000, 0.0000, 0.0000)  4 Re 2.71, 4 Cd 2.71
Cd (0.0000, 0.0000, 0.5000)  8 Al 2.71
Re (0.5000, 0.5000, 0.5000)  8 Al 2.71

No. 2
Compound: Al4CdRe
Source: the Alexandria database
Functional: GGA-PBEsol
Structure: optimized geometry

a b c (Å): 5.0819 5.0819 5.0819
angles (deg): 60.00 60.00 60.00
With the nearest neighbours (Å) after each atom.
Fractional positions:
Al (0.3759, 0.3759, 0.3759)  6 Al 2.52-2.56
Al (0.3759, 0.3759, 0.8724)  6 Al 2.52-2.56
Al (0.3759, 0.8724, 0.3759)  6 Al 2.52-2.56
Al (0.8724, 0.3759, 0.3759)  6 Al 2.52-2.56
Cd (0.0000, 0.0000, 0.0000)  12 Al 2.98, 4 Re 3.11
Re (0.7500, 0.7500, 0.7500)  12 Al 2.98, 4 Cd 3.11

No. 3
Compound: Al2CdReTe
Source: the Alexandria database
Functional: GGA-PBEsol
Structure: optimized geometry

For the uncorrected formation energy, the calculation gives 1.754 eV per atom.

a b c (Å): 4.7865 4.7865 5.6217
angles (deg): 90.00 90.00 90.00
With the nearest neighbours (Å) after each atom.
Fractional positions:
Al (0.0000, 0.5000, 0.0000)  2 Cd 2.39
Al (0.5000, 0.0000, 0.0000)  2 Cd 2.39
Cd (0.0000, 0.0000, 0.0000)  4 Al 2.39
Re (0.5000, 0.5000, 0.5000)  4 Te 3.38, 8 Al 3.69
Te (0.0000, 0.0000, 0.5000)  2 Cd 2.81

No. 4
Compound: AlCd2Rh
Source: the Alexandria database
Functional: GGA-PBEsol
Structure: optimized geometry

a b c (Å): 3.1435 3.9509 5.4417
angles (deg): 90.00 90.00 90.00
With the nearest neighbours (Å) after each atom.
Fractional positions:
Al (0.0000, 0.0000, 0.0000)  2 Rh 2.72, 8 Cd 2.88
Cd (0.5000, 0.5000, 0.2559)  2 Cd 2.66-2.79, 4 Rh 2.85, 4 Al 2.88
Cd (0.5000, 0.5000, 0.7441)  2 Cd 2.66-2.79, 4 Rh 2.85, 4 Al 2.88
Rh (0.0000, 0.0000, 0.5000)  2 Al 2.72, 8 Cd 2.85

No. 5
Compound: AlCdRh2
Source: the Alexandria database
Functional: GGA-PBEsol
Structure: optimized geometry

a b c (Å): 2.8156 3.8086 5.6108
angles (deg): 90.00 90.00 90.00
With the nearest neighbours (Å) after each atom.
Fractional positions:
Al (0.0000, 0.0000, 0.0000)  5 Rh 2.51-2.57
Cd (0.5000, 0.5000, 0.3144)  6 Rh 2.72-2.86, 2 Cd 2.82, 4 Al 2.95
Rh (0.0000, 0.0000, 0.5531)  1 Al 2.51, 4 Cd 2.72
Rh (0.5000, 0.5000, 0.8235)  4 Al 2.57, 2 Cd 2.75-2.86, 6 Rh 2.81-2.82

No. 6
Compound: AlCdRh2
Source: the Alexandria database
Functional: GGA-PBEsol
Structure: optimized geometry

a b c (Å): 2.8593 2.8593 7.5200
angles (deg): 90.00 90.00 90.00
With the nearest neighbours (Å) after each atom.
Fractional positions:
Al (0.0000, 0.0000, 0.0000)  4 Rh 2.49
Cd (0.5000, 0.5000, 0.3089)  4 Rh 2.79, 4 Cd 2.86, 4 Al 3.08
Rh (0.0000, 0.0000, 0.5649)  8 Rh 2.72-2.86, 4 Cd 2.79
Rh (0.5000, 0.5000, 0.8069)  4 Al 2.49, 4 Rh 2.72

No. 7
Compound: AlCdRh2Se
Source: the Alexandria database
Functional: GGA-PBEsol
Structure: optimized geometry

For the uncorrected formation energy, the calculation gives 0.532 eV per atom.

a b c (Å): 4.5074 4.5074 4.6471
angles (deg): 90.00 90.00 90.00
With the nearest neighbours (Å) after each atom.
Fractional positions:
Al (0.0000, 0.0000, 0.0000)  4 Rh 2.25, 2 Se 2.32
Cd (0.5000, 0.5000, 0.5000)  4 Se 3.19, 8 Rh 3.24
Rh (0.0000, 0.5000, 0.0000)  2 Al 2.25
Rh (0.5000, 0.0000, 0.0000)  2 Al 2.25
Se (0.0000, 0.0000, 0.5000)  2 Al 2.32

No. 8
Compound: TaAl2CdRh
Source: the Alexandria database
Functional: GGA-PBEsol
Structure: optimized geometry

a b c (Å): 4.8493 4.8493 5.0943
angles (deg): 90.00 90.00 90.00
With the nearest neighbours (Å) after each atom.
Fractional positions:
Ta (0.0000, 0.0000, 0.0000)  4 Al 2.42, 2 Cd 2.55
Al (0.0000, 0.5000, 0.0000)  2 Ta 2.42
Al (0.5000, 0.0000, 0.0000)  2 Ta 2.42
Cd (0.0000, 0.0000, 0.5000)  2 Ta 2.55
Rh (0.5000, 0.5000, 0.5000)  4 Cd 3.43, 8 Al 3.52

No. 9
Compound: AlCd2Ru
Source: the Alexandria database
Functional: GGA-PBEsol
Structure: optimized geometry

a b c (Å): 3.5298 3.5298 5.4736
angles (deg): 90.00 90.00 90.00
With the nearest neighbours (Å) after each atom.
Fractional positions:
Al (0.0000, 0.0000, 0.0000)  2 Ru 2.74, 8 Cd 2.86
Cd (0.5000, 0.5000, 0.2550)  2 Cd 2.68-2.79, 4 Ru 2.83, 4 Al 2.86
Cd (0.5000, 0.5000, 0.7450)  2 Cd 2.68-2.79, 4 Ru 2.83, 4 Al 2.86
Ru (0.0000, 0.0000, 0.5000)  2 Al 2.74, 8 Cd 2.83

No. 10
Compound: Al2CdRu
Source: the Alexandria database
Functional: GGA-PBEsol
Structure: optimized geometry

a b c (Å): 4.7804 4.7804 4.7804
angles (deg): 131.12 131.12 71.62
With the nearest neighbours (Å) after each atom.
Fractional positions:
Al (0.2500, 0.7500, 0.5000)  4 Ru 2.77, 4 Cd 2.77, 4 Al 2.80
Al (0.7500, 0.2500, 0.5000)  4 Ru 2.77, 4 Cd 2.77, 4 Al 2.80
Cd (0.0000, 0.0000, 0.0000)  8 Al 2.77, 4 Ru 2.80
Ru (0.5000, 0.5000, 0.0000)  8 Al 2.77, 4 Cd 2.80

No. 11
Compound: AlCd2Ru
Source: the Alexandria database
Functional: GGA-PBEsol
Structure: optimized geometry

a b c (Å): 5.2465 5.2465 4.4108
angles (deg): 114.67 114.67 37.72
With the nearest neighbours (Å) after each atom.
Fractional positions:
Al (0.0000, 0.0000, 0.0000)  2 Ru 2.49
Cd (0.5353, 0.5353, 0.5358)  4 Al 2.80, 4 Ru 2.87-3.07, 4 Cd 2.95-3.02
Cd (0.7648, 0.7648, 0.2671)  4 Ru 2.79-2.80, 4 Al 2.91-3.04, 4 Cd 2.95-3.02
Ru (0.2954, 0.2954, 0.7979)  2 Al 2.49

No. 12
Compound: AlCd2Ru
Source: the Alexandria database
Functional: GGA-PBEsol
Structure: optimized geometry

a b c (Å): 9.6000 9.6000 9.6000
angles (deg): 17.38 17.38 17.38
With the nearest neighbours (Å) after each atom.
Fractional positions:
Al (0.0000, 0.0000, 0.0000)  6 Al 2.90, 6 Cd 2.99
Cd (0.2460, 0.2460, 0.2460)  3 Ru 2.80, 6 Cd 2.90, 3 Al 2.99
Cd (0.7540, 0.7540, 0.7540)  3 Ru 2.80, 6 Cd 2.90, 3 Al 2.99
Ru (0.5000, 0.5000, 0.5000)  6 Cd 2.80, 6 Ru 2.90

No. 13
Compound: AlCdRu
Source: the Alexandria database
Functional: GGA-PBEsol
Structure: optimized geometry

a b c (Å): 5.2879 5.2879 5.2879
angles (deg): 145.48 145.48 49.62
With the nearest neighbours (Å) after each atom.
Fractional positions:
Al (0.0000, 0.0000, 0.0000)  4 Ru 2.47
Cd (0.7003, 0.7003, 0.0000)  5 Ru 2.85-3.01, 5 Al 2.88-2.94, 4 Cd 3.14
Ru (0.3872, 0.3872, 0.0000)  4 Al 2.47

No. 14
Compound: Al3CdRu
Source: the Alexandria database
Functional: GGA-PBEsol
Structure: optimized geometry

a b c (Å): 4.7500 4.7500 4.7500
angles (deg): 90.00 90.00 90.00
With the nearest neighbours (Å) after each atom.
Fractional positions:
Al (0.0000, 0.0000, 0.5000)  2 Cd 2.38
Al (0.0000, 0.5000, 0.0000)  2 Cd 2.38
Al (0.5000, 0.0000, 0.0000)  2 Cd 2.38
Cd (0.0000, 0.0000, 0.0000)  6 Al 2.38
Ru (0.5000, 0.5000, 0.5000)  12 Al 3.36

No. 15
Compound: Al2CdS4
Source: the Alexandria database
Functional: GGA-PBEsol
Structure: optimized geometry

For the uncorrected formation energy, the calculation gives -0.959 eV per atom.

a b c (Å): 6.3910 6.3910 6.3910
angles (deg): 128.78 128.78 75.36
With the nearest neighbours (Å) after each atom.
Fractional positions:
Al (0.0000, 0.0000, 0.0000)  4 S 2.26
Al (0.7500, 0.2500, 0.5000)  4 S 2.26
Cd (0.5000, 0.5000, 0.0000)  4 S 2.53
S (0.0914, 0.0944, 0.4590)  2 Al 2.26, 1 Cd 2.53
S (0.3676, 0.9086, 0.0030)  2 Al 2.26, 1 Cd 2.53
S (0.6354, 0.6324, 0.5410)  2 Al 2.26, 1 Cd 2.53
S (0.9056, 0.3646, 0.9970)  2 Al 2.26, 1 Cd 2.53

Record order is preserved below.
Total energy: -0.4077, -0.3645, -0.2568, -0.2747, -0.4154, -0.4096, -0.3345, -0.3242, -0.2896, -0.3717, -0.3039, -0.2830, -0.3894, -0.2399, -0.3531 Ry/atom